# 1
First-principles (PBE) data for a geometry-optimized Ti4Mn2C structure, as listed in Alexandria.

Values from the calculation:
* DOS(E_F): 7.89 states/eV/f.u.
* formation energy from the elements: 0.6 eV/f.u.

Unit cell a=7.288 b=7.288 c=7.288 alpha=147.52 beta=147.52 gamma=46.59
Positions (direct):
Ti1 0.000 0.500 0.500
Ti2 0.157 0.157 0.000
Ti3 0.500 0.000 0.500
Ti4 0.843 0.843 0.000
Mn1 0.356 0.356 0.000
Mn2 0.644 0.644 0.000
C1 0.000 0.000 0.000

# 2
First-principles (PBE) data for a geometry-optimized SrSmLuMg structure, as listed in Alexandria.

Values from the calculation:
* DOS(E_F): 3.07 states/eV/f.u.
* formation energy from the elements: 0.6 eV/f.u.

Unit cell a=5.721 b=5.721 c=5.721 alpha=60.00 beta=60.00 gamma=60.00
Positions (direct):
Sr1 0.000 0.000 0.000
Sm1 0.500 0.500 0.500
Lu1 0.250 0.250 0.250
Mg1 0.750 0.750 0.750

# 3
First-principles (PBE) data for a geometry-optimized NiBr structure, as listed in Alexandria.

Values from the calculation:
* DOS(E_F): 2.39 states/eV/f.u.
* formation energy without anion corrections: 0.062 eV per atom

Unit cell a=6.511 b=6.511 c=6.511 alpha=109.47 beta=109.47 gamma=109.47
Positions (direct):
Ni1 0.000 0.000 0.767
Ni2 0.000 0.767 0.000
Ni3 0.233 0.233 0.233
Ni4 0.767 0.000 0.000
Br1 0.000 0.000 0.395
Br2 0.000 0.395 0.000
Br3 0.395 0.000 0.000
Br4 0.605 0.605 0.605

# 4
First-principles (PBE) data for a geometry-optimized La4Sm7Sc structure, as listed in Alexandria.

Values from the calculation:
* DOS(E_F): 17.53 states/eV/f.u.
* formation energy from the elements: 2.0 eV/f.u.

Unit cell a=6.417 b=6.417 c=13.530 alpha=103.33 beta=103.33 gamma=50.28
Positions (direct):
La1 0.032 0.032 0.281
La2 0.318 0.318 0.239
La3 0.682 0.682 0.761
La4 0.968 0.968 0.719
Sm1 0.138 0.138 0.966
Sm2 0.271 0.271 0.600
Sm3 0.411 0.411 0.871
Sm4 0.500 0.500 0.500
Sm5 0.589 0.589 0.129
Sm6 0.729 0.729 0.400
Sm7 0.862 0.862 0.034
Sc1 0.000 0.000 0.500

# 5
First-principles (PBE) data for a geometry-optimized Pm4Nd5Tm2 structure, as listed in Alexandria.

Values from the calculation:
* excess energy over the best structure of this formula in the dataset: 90 meV per atom
* DOS(E_F): 16.90 states/eV/f.u.
* formation energy from the elements: 2.5 eV/f.u.

Unit cell a=12.719 b=12.719 c=12.719 alpha=164.04 beta=136.48 gamma=46.64
Positions (direct):
Pm1 0.096 0.096 0.000
Pm2 0.200 0.500 0.700
Pm3 0.800 0.500 0.300
Pm4 0.904 0.904 0.000
Nd1 0.142 0.349 0.794
Nd2 0.445 0.651 0.794
Nd3 0.500 0.000 0.500
Nd4 0.555 0.349 0.206
Nd5 0.858 0.651 0.206
Tm1 0.230 0.230 0.000
Tm2 0.770 0.770 0.000

# 6
First-principles (PBE) data for a geometry-optimized Pa2FeS structure, as listed in Alexandria.

Values from the calculation:
* DOS(E_F): 4.57 states/eV/f.u.
* formation energy without anion corrections: -0.244 eV per atom

Unit cell a=8.968 b=8.968 c=8.968 alpha=21.06 beta=21.06 gamma=21.06
Positions (direct):
Pa1 0.089 0.089 0.089
Pa2 0.911 0.911 0.911
Fe1 0.000 0.000 0.000
S1 0.500 0.500 0.500

# 7
First-principles (PBE) data for a geometry-optimized GdHo2Re structure, as listed in Alexandria.

Values from the calculation:
* DOS(E_F): 3.83 states/eV/f.u.
* formation energy from the elements: 1.2 eV/f.u.

Unit cell a=10.541 b=10.541 c=10.541 alpha=18.76 beta=18.76 gamma=18.76
Positions (direct):
Gd1 0.000 0.000 0.000
Ho1 0.233 0.233 0.233
Ho2 0.767 0.767 0.767
Re1 0.500 0.500 0.500

# 8
First-principles (PBE) data for a geometry-optimized Ac2LaNi structure, as listed in Alexandria.

Values from the calculation:
* excess energy over the best structure of this formula in the dataset: 16 meV per atom
* DOS(E_F): 5.56 states/eV/f.u.
* formation energy from the elements: -0.5 eV/f.u.

Unit cell a=3.950 b=10.596 c=6.793 alpha=90.00 beta=106.90 gamma=90.00
Positions (direct):
Ac1 0.140 0.071 0.278
Ac2 0.140 0.429 0.278
Ac3 0.860 0.571 0.722
Ac4 0.860 0.929 0.722
La1 0.397 0.250 0.797
La2 0.603 0.750 0.203
Ni1 0.259 0.750 0.519
Ni2 0.741 0.250 0.481

- Which formula does entry 2 have?
  SrSmLuMg